1.
! Tb3NiHg, optimized geometry, DFT PBE; values from VASP
! Total moment, μB/cell: 0.00
! Density, g/cm3: 9.600
! SG: P2_1/m (11)
! Distance to the lowest polymorph of the same formula, meV per atom: 0
&SYSTEM
  ibrav = 0, nat = 10, ntyp = 3
/
ATOMIC_SPECIES
Tb 158.93 Tb.upf
Ni 58.69 Ni.upf
Hg 200.59 Hg.upf
CELL_PARAMETERS angstrom
7.302 0.000 0.000
0.000 4.667 0.000
-2.761 0.000 7.471
ATOMIC_POSITIONS crystal
Tb 0.057 0.250 0.242
Tb 0.316 0.250 0.917
Tb 0.340 0.750 0.584
Tb 0.660 0.250 0.416
Tb 0.684 0.750 0.083
Tb 0.943 0.750 0.758
Ni 0.062 0.250 0.582
Ni 0.938 0.750 0.418
Hg 0.311 0.750 0.182
Hg 0.689 0.250 0.818

2.
! Tb11Ni4Hg9, optimized geometry, DFT PBE; values from VASP
! Total moment, μB/cell: 0.00
! Density, g/cm3: 11.159
! SG: Cmmm (65)
! Calculated total energy, eV for the cell shown: -88.501
&SYSTEM
  ibrav = 0, nat = 24, ntyp = 3
/
ATOMIC_SPECIES
Tb 158.93 Tb.upf
Ni 58.69 Ni.upf
Hg 200.59 Hg.upf
CELL_PARAMETERS angstrom
7.218 -10.847 0.000
7.218 10.847 0.000
0.000 0.000 3.600
ATOMIC_POSITIONS crystal
Tb 0.000 0.000 0.000
Tb 0.081 0.416 0.000
Tb 0.166 0.834 0.000
Tb 0.308 0.308 0.000
Tb 0.374 0.626 0.000
Tb 0.416 0.081 0.000
Tb 0.584 0.919 0.000
Tb 0.626 0.374 0.000
Tb 0.692 0.692 0.000
Tb 0.834 0.166 0.000
Tb 0.919 0.584 0.000
Ni 0.251 0.450 0.500
Ni 0.450 0.251 0.500
Ni 0.550 0.749 0.500
Ni 0.749 0.550 0.500
Hg 0.073 0.218 0.500
Hg 0.157 0.630 0.500
Hg 0.218 0.073 0.500
Hg 0.370 0.843 0.500
Hg 0.500 0.500 0.500
Hg 0.630 0.157 0.500
Hg 0.782 0.927 0.500
Hg 0.843 0.370 0.500
Hg 0.927 0.782 0.500

3.
! Tb6NiHg5, optimized geometry, DFT PBE; values from VASP
! Total moment, μB/cell: 0.00
! Density, g/cm3: 11.133
! SG: C2/m (12)
! Calculated total energy, eV for the cell shown: -40.453
&SYSTEM
  ibrav = 0, nat = 12, ntyp = 3
/
ATOMIC_SPECIES
Tb 158.93 Tb.upf
Ni 58.69 Ni.upf
Hg 200.59 Hg.upf
CELL_PARAMETERS angstrom
8.175 -3.727 0.000
8.175 3.727 0.000
-1.635 0.000 4.933
ATOMIC_POSITIONS crystal
Tb 0.079 0.606 0.343
Tb 0.229 0.771 0.000
Tb 0.394 0.921 0.657
Tb 0.606 0.079 0.343
Tb 0.771 0.229 0.000
Tb 0.921 0.394 0.657
Ni 0.000 0.000 0.500
Hg 0.179 0.179 0.179
Hg 0.334 0.334 0.834
Hg 0.500 0.500 0.500
Hg 0.666 0.666 0.166
Hg 0.821 0.821 0.821

4.
! Tb5NiHg4, optimized geometry, DFT PBE; values from VASP
! Total moment, μB/cell: 0.16
! Density, g/cm3: 11.082
! SG: P4/mmm (123)
! Calculated total energy, eV for the cell shown: -34.603
&SYSTEM
  ibrav = 0, nat = 10, ntyp = 3
/
ATOMIC_SPECIES
Tb 158.93 Tb.upf
Ni 58.69 Ni.upf
Hg 200.59 Hg.upf
CELL_PARAMETERS angstrom
3.626 0.000 0.000
0.000 3.626 0.000
0.000 0.000 18.866
ATOMIC_POSITIONS crystal
Tb 0.000 0.000 0.000
Tb 0.000 0.000 0.207
Tb 0.000 0.000 0.415
Tb 0.000 0.000 0.585
Tb 0.000 0.000 0.793
Ni 0.500 0.500 0.500
Hg 0.500 0.500 0.103
Hg 0.500 0.500 0.309
Hg 0.500 0.500 0.691
Hg 0.500 0.500 0.897

5.
! Tb3NiHg, optimized geometry, DFT PBE; values from VASP
! Total moment, μB/cell: 0.00
! Density, g/cm3: 8.983
! SG: Cmmm (65)
! Distance to the lowest polymorph of the same formula, meV per atom: 95
&SYSTEM
  ibrav = 0, nat = 10, ntyp = 3
/
ATOMIC_SPECIES
Tb 158.93 Tb.upf
Ni 58.69 Ni.upf
Hg 200.59 Hg.upf
CELL_PARAMETERS angstrom
4.901 -7.172 0.000
4.901 7.172 0.000
0.000 0.000 3.871
ATOMIC_POSITIONS crystal
Tb 0.179 0.821 0.000
Tb 0.181 0.424 0.500
Tb 0.424 0.181 0.500
Tb 0.576 0.819 0.500
Tb 0.819 0.576 0.500
Tb 0.821 0.179 0.000
Ni 0.000 0.500 0.000
Ni 0.500 0.000 0.000
Hg 0.000 0.000 0.500
Hg 0.500 0.500 0.000

6.
! Tb6NiHg3, optimized geometry, DFT PBE; values from VASP
! Total moment, μB/cell: 0.00
! Density, g/cm3: 10.090
! SG: Pnnm (58)
! Calculated total energy, eV for the cell shown: -75.046
&SYSTEM
  ibrav = 0, nat = 20, ntyp = 3
/
ATOMIC_SPECIES
Tb 158.93 Tb.upf
Ni 58.69 Ni.upf
Hg 200.59 Hg.upf
CELL_PARAMETERS angstrom
8.968 0.000 0.000
0.000 11.470 0.000
0.000 0.000 5.164
ATOMIC_POSITIONS crystal
Tb 0.010 0.236 0.000
Tb 0.156 0.081 0.500
Tb 0.186 0.415 0.500
Tb 0.314 0.915 0.000
Tb 0.344 0.581 0.000
Tb 0.490 0.736 0.500
Tb 0.510 0.264 0.500
Tb 0.656 0.419 0.000
Tb 0.686 0.085 0.000
Tb 0.814 0.585 0.500
Tb 0.844 0.919 0.500
Tb 0.990 0.764 0.000
Ni 0.000 0.000 0.000
Ni 0.500 0.500 0.500
Hg 0.000 0.500 0.000
Hg 0.155 0.727 0.500
Hg 0.345 0.227 0.000
Hg 0.500 0.000 0.500
Hg 0.655 0.773 0.000
Hg 0.845 0.273 0.500

7.
! Tb6NiHg, optimized geometry, DFT PBE; values from VASP
! Total moment, μB/cell: 0.00
! Density, g/cm3: 7.971
! SG: P-1 (2)
! Calculated total energy, eV for the cell shown: -33.907
&SYSTEM
  ibrav = 0, nat = 8, ntyp = 3
/
ATOMIC_SPECIES
Tb 158.93 Tb.upf
Ni 58.69 Ni.upf
Hg 200.59 Hg.upf
CELL_PARAMETERS angstrom
6.902 0.000 0.000
-3.445 5.982 0.000
-3.447 -1.986 6.120
ATOMIC_POSITIONS crystal
Tb 0.040 0.082 0.258
Tb 0.300 0.718 0.258
Tb 0.323 0.542 0.742
Tb 0.677 0.458 0.258
Tb 0.700 0.282 0.742
Tb 0.960 0.918 0.742
Ni 0.500 0.500 0.500
Hg 0.500 0.000 0.000

8.
! TbNiHg, optimized geometry, DFT PBE; values from VASP
! Total moment, μB/cell: 0.00
! Density, g/cm3: 11.131
! SG: C2/m (12)
! Calculated total energy, eV for the cell shown: -23.778
&SYSTEM
  ibrav = 0, nat = 6, ntyp = 3
/
ATOMIC_SPECIES
Tb 158.93 Tb.upf
Ni 58.69 Ni.upf
Hg 200.59 Hg.upf
CELL_PARAMETERS angstrom
6.260 -1.974 0.000
6.260 1.974 0.000
-1.008 0.000 5.050
ATOMIC_POSITIONS crystal
Tb 0.133 0.133 0.311
Tb 0.867 0.867 0.689
Ni 0.231 0.231 0.857
Ni 0.769 0.769 0.143
Hg 0.422 0.422 0.223
Hg 0.578 0.578 0.777

9.
! Tb4NiHg, optimized geometry, DFT PBE; values from VASP
! Total moment, μB/cell: 0.00
! Density, g/cm3: 8.544
! SG: P2_1/c (14)
! Distance to the lowest polymorph of the same formula, meV per atom: 179
&SYSTEM
  ibrav = 0, nat = 12, ntyp = 3
/
ATOMIC_SPECIES
Tb 158.93 Tb.upf
Ni 58.69 Ni.upf
Hg 200.59 Hg.upf
CELL_PARAMETERS angstrom
6.999 0.000 0.000
0.000 7.179 0.000
-0.662 0.000 6.923
ATOMIC_POSITIONS crystal
Tb 0.147 0.168 0.189
Tb 0.147 0.332 0.689
Tb 0.322 0.647 0.111
Tb 0.322 0.853 0.611
Tb 0.678 0.147 0.389
Tb 0.678 0.353 0.889
Tb 0.853 0.668 0.311
Tb 0.853 0.832 0.811
Ni 0.000 0.000 0.500
Ni 0.000 0.500 0.000
Hg 0.500 0.000 0.000
Hg 0.500 0.500 0.500

10.
! TbNiHg, optimized geometry, DFT PBE; values from VASP
! Total moment, μB/cell: 0.00
! Density, g/cm3: 11.123
! SG: Cmcm (63)
! Calculated total energy, eV for the cell shown: -24.241
&SYSTEM
  ibrav = 0, nat = 6, ntyp = 3
/
ATOMIC_SPECIES
Tb 158.93 Tb.upf
Ni 58.69 Ni.upf
Hg 200.59 Hg.upf
CELL_PARAMETERS angstrom
1.877 -8.410 0.000
1.877 8.410 0.000
0.000 0.000 3.955
ATOMIC_POSITIONS crystal
Tb 0.096 0.904 0.750
Tb 0.904 0.096 0.250
Ni 0.459 0.541 0.750
Ni 0.541 0.459 0.250
Hg 0.297 0.703 0.750
Hg 0.703 0.297 0.250

11.
! Tb7Ni2Hg2, optimized geometry, DFT PBE; values from VASP
! Total moment, μB/cell: 0.00
! Density, g/cm3: 8.914
! SG: Cmmm (65)
! Calculated total energy, eV for the cell shown: -47.011
&SYSTEM
  ibrav = 0, nat = 11, ntyp = 3
/
ATOMIC_SPECIES
Tb 158.93 Tb.upf
Ni 58.69 Ni.upf
Hg 200.59 Hg.upf
CELL_PARAMETERS angstrom
3.928 -5.521 0.000
3.928 5.521 0.000
0.000 0.000 7.006
ATOMIC_POSITIONS crystal
Tb 0.000 0.000 0.000
Tb 0.000 0.500 0.247
Tb 0.000 0.500 0.753
Tb 0.500 0.000 0.247
Tb 0.500 0.000 0.753
Tb 0.500 0.500 0.239
Tb 0.500 0.500 0.761
Ni 0.296 0.704 0.000
Ni 0.704 0.296 0.000
Hg 0.183 0.183 0.500
Hg 0.817 0.817 0.500

12.
! TbNiHg2, optimized geometry, DFT PBE; values from VASP
! Total moment, μB/cell: 0.00
! Density, g/cm3: 12.449
! SG: Cmcm (63)
! Calculated total energy, eV for the cell shown: -24.611
&SYSTEM
  ibrav = 0, nat = 8, ntyp = 3
/
ATOMIC_SPECIES
Tb 158.93 Tb.upf
Ni 58.69 Ni.upf
Hg 200.59 Hg.upf
CELL_PARAMETERS angstrom
1.982 -5.021 0.000
1.982 5.021 0.000
0.000 0.000 8.293
ATOMIC_POSITIONS crystal
Tb 0.067 0.933 0.750
Tb 0.933 0.067 0.250
Ni 0.230 0.770 0.250
Ni 0.770 0.230 0.750
Hg 0.359 0.641 0.551
Hg 0.359 0.641 0.949
Hg 0.641 0.359 0.051
Hg 0.641 0.359 0.449

13.
! Tb12Ni2Hg5, optimized geometry, DFT PBE; values from VASP
! Total moment, μB/cell: 0.00
! Density, g/cm3: 8.762
! SG: C2/m (12)
! Calculated total energy, eV for the cell shown: -71.745
&SYSTEM
  ibrav = 0, nat = 19, ntyp = 3
/
ATOMIC_SPECIES
Tb 158.93 Tb.upf
Ni 58.69 Ni.upf
Hg 200.59 Hg.upf
CELL_PARAMETERS angstrom
8.270 -3.738 0.000
8.270 3.738 0.000
-2.804 0.000 9.279
ATOMIC_POSITIONS crystal
Tb 0.001 0.001 0.250
Tb 0.075 0.602 0.915
Tb 0.102 0.597 0.426
Tb 0.398 0.925 0.085
Tb 0.403 0.898 0.574
Tb 0.496 0.496 0.179
Tb 0.504 0.504 0.821
Tb 0.597 0.102 0.426
Tb 0.602 0.075 0.915
Tb 0.898 0.403 0.574
Tb 0.925 0.398 0.085
Tb 0.999 0.999 0.750
Ni 0.187 0.813 0.000
Ni 0.813 0.187 0.000
Hg 0.191 0.191 0.838
Hg 0.196 0.196 0.359
Hg 0.500 0.500 0.500
Hg 0.804 0.804 0.641
Hg 0.809 0.809 0.162

14.
! Tb12NiHg6, optimized geometry, DFT PBE; values from VASP
! Total moment, μB/cell: 0.00
! Density, g/cm3: 9.532
! SG: R-3 (148)
! Calculated total energy, eV for the cell shown: -67.629
&SYSTEM
  ibrav = 0, nat = 19, ntyp = 3
/
ATOMIC_SPECIES
Tb 158.93 Tb.upf
Ni 58.69 Ni.upf
Hg 200.59 Hg.upf
CELL_PARAMETERS angstrom
6.015 3.473 4.405
-6.015 3.473 4.405
0.000 -6.946 4.405
ATOMIC_POSITIONS crystal
Tb 0.042 0.702 0.925
Tb 0.075 0.958 0.298
Tb 0.190 0.534 0.410
Tb 0.298 0.075 0.958
Tb 0.410 0.190 0.534
Tb 0.466 0.590 0.810
Tb 0.534 0.410 0.190
Tb 0.590 0.810 0.466
Tb 0.702 0.925 0.042
Tb 0.810 0.466 0.590
Tb 0.925 0.042 0.702
Tb 0.958 0.298 0.075
Ni 0.500 0.500 0.500
Hg 0.146 0.360 0.760
Hg 0.240 0.854 0.640
Hg 0.360 0.760 0.146
Hg 0.640 0.240 0.854
Hg 0.760 0.146 0.360
Hg 0.854 0.640 0.240

15.
! Tb4Ni2Hg, optimized geometry, DFT PBE; values from VASP
! Total moment, μB/cell: 0.00
! Density, g/cm3: 9.454
! SG: P1 (1)
! Calculated total energy, eV for the cell shown: -65.256
&SYSTEM
  ibrav = 0, nat = 14, ntyp = 3
/
ATOMIC_SPECIES
Tb 158.93 Tb.upf
Ni 58.69 Ni.upf
Hg 200.59 Hg.upf
CELL_PARAMETERS angstrom
6.792 0.000 0.000
-1.645 6.658 0.000
-2.566 -3.333 7.409
ATOMIC_POSITIONS crystal
Tb 0.000 0.000 0.000
Tb 0.013 0.513 0.027
Tb 0.136 0.298 0.453
Tb 0.417 0.251 0.865
Tb 0.547 0.844 0.592
Tb 0.566 0.898 0.162
Tb 0.696 0.358 0.573
Tb 0.969 0.765 0.436
Ni 0.280 0.971 0.334
Ni 0.622 0.633 0.847
Ni 0.788 0.298 0.180
Ni 0.960 0.152 0.694
Hg 0.217 0.704 0.779
Hg 0.451 0.440 0.248

16.
! TbNiHg, optimized geometry, DFT PBE; values from VASP
! Total moment, μB/cell: 0.00
! Density, g/cm3: 11.413
! SG: I4mm (107)
! Calculated total energy, eV for the cell shown: -11.600
&SYSTEM
  ibrav = 0, nat = 3, ntyp = 3
/
ATOMIC_SPECIES
Tb 158.93 Tb.upf
Ni 58.69 Ni.upf
Hg 200.59 Hg.upf
CELL_PARAMETERS angstrom
-1.796 1.796 4.716
1.796 -1.796 4.716
1.796 1.796 -4.716
ATOMIC_POSITIONS crystal
Tb 0.000 0.000 0.000
Ni 0.348 0.348 0.000
Hg 0.689 0.689 0.000

17.
! Tb2Ni2Hg3, optimized geometry, DFT PBE; values from VASP
! Total moment, μB/cell: 0.00
! Density, g/cm3: 11.442
! SG: Cmmm (65)
! Calculated total energy, eV for the cell shown: -24.379
&SYSTEM
  ibrav = 0, nat = 7, ntyp = 3
/
ATOMIC_SPECIES
Tb 158.93 Tb.upf
Ni 58.69 Ni.upf
Hg 200.59 Hg.upf
CELL_PARAMETERS angstrom
2.000 -10.127 0.000
2.000 10.127 0.000
0.000 0.000 3.715
ATOMIC_POSITIONS crystal
Tb 0.172 0.828 0.000
Tb 0.828 0.172 0.000
Ni 0.284 0.716 0.500
Ni 0.716 0.284 0.500
Hg 0.000 0.000 0.000
Hg 0.419 0.581 0.500
Hg 0.581 0.419 0.500

18.
! Tb5Ni2Hg2, optimized geometry, DFT PBE; values from VASP
! Total moment, μB/cell: 0.00
! Density, g/cm3: 9.776
! SG: Cmce (64)
! Calculated total energy, eV for the cell shown: -77.426
&SYSTEM
  ibrav = 0, nat = 18, ntyp = 3
/
ATOMIC_SPECIES
Tb 158.93 Tb.upf
Ni 58.69 Ni.upf
Hg 200.59 Hg.upf
CELL_PARAMETERS angstrom
7.921 -3.683 0.000
7.921 3.683 0.000
0.000 0.000 7.646
ATOMIC_POSITIONS crystal
Tb 0.000 0.000 0.000
Tb 0.053 0.706 0.675
Tb 0.206 0.553 0.175
Tb 0.294 0.947 0.675
Tb 0.447 0.794 0.175
Tb 0.500 0.500 0.500
Tb 0.553 0.206 0.825
Tb 0.706 0.053 0.325
Tb 0.794 0.447 0.825
Tb 0.947 0.294 0.325
Ni 0.120 0.880 0.378
Ni 0.380 0.620 0.878
Ni 0.620 0.380 0.122
Ni 0.880 0.120 0.622
Hg 0.217 0.217 0.000
Hg 0.283 0.283 0.500
Hg 0.717 0.717 0.500
Hg 0.783 0.783 0.000

19.
! Tb8Ni2Hg, optimized geometry, DFT PBE; values from VASP
! Total moment, μB/cell: 0.00
! Density, g/cm3: 8.886
! SG: C2/m (12)
! Calculated total energy, eV for the cell shown: -50.517
&SYSTEM
  ibrav = 0, nat = 11, ntyp = 3
/
ATOMIC_SPECIES
Tb 158.93 Tb.upf
Ni 58.69 Ni.upf
Hg 200.59 Hg.upf
CELL_PARAMETERS angstrom
4.236 -6.648 0.000
4.236 6.648 0.000
-1.370 0.000 5.274
ATOMIC_POSITIONS crystal
Tb 0.078 0.335 0.579
Tb 0.243 0.757 0.000
Tb 0.335 0.078 0.579
Tb 0.387 0.387 0.193
Tb 0.613 0.613 0.807
Tb 0.665 0.922 0.421
Tb 0.757 0.243 0.000
Tb 0.922 0.665 0.421
Ni 0.302 0.698 0.500
Ni 0.698 0.302 0.500
Hg 0.000 0.000 0.000

20.
! TbYNiHg, optimized geometry, DFT PBE; values from VASP
! Total moment, μB/cell: 0.00
! Density, g/cm3: 9.162
! SG: F-43m (216)
! Calculated total energy, eV for the cell shown: -18.607
&SYSTEM
  ibrav = 0, nat = 4, ntyp = 4
/
ATOMIC_SPECIES
Tb 158.93 Tb.upf
Y 88.91 Y.upf
Ni 58.69 Ni.upf
Hg 200.59 Hg.upf
CELL_PARAMETERS angstrom
0.000 3.582 3.582
3.582 0.000 3.582
3.582 3.582 0.000
ATOMIC_POSITIONS crystal
Tb 0.000 0.000 0.000
Y 0.500 0.500 0.500
Ni 0.750 0.750 0.750
Hg 0.250 0.250 0.250